(1)
Material: InTe3
Method: DFT, PBE
State: optimized geometry

abc: 4.3387 4.3387 23.1051
angles: 90.00 90.00 120.00
Space group R-3m (No. 166, hexagonal axes)
Asymmetric unit:
In (0.0000, 0.0000, 0.0000) [3 per cell]
Te (0.0000, 0.0000, 0.2551) [6 per cell]
Te (0.0000, 0.0000, 0.5000) [3 per cell]

Calculated values
- N(E_F): 0.760 states/eV per atom
- Formation energy without anion corrections: -18 kJ/mol of formula units


(2)
Material: In2Te
Method: DFT, PBE
State: optimized geometry

abc: 12.950 3.571 8.609
angles: 90.00 112.41 90.00
Space group C2/m (No. 12)
Asymmetric unit:
In (0.054, 0.000, 0.322) [4 per cell]
In (0.146, 0.500, 0.055) [4 per cell]
Te (0.164, 0.500, 0.655) [4 per cell]

Calculated values
- N(E_F): 0.285 states/eV per atom
- Formation energy without anion corrections: -19 kJ/mol of formula units


(3)
Material: InTe3
Method: DFT, PBE
State: optimized geometry

abc: 10.9514 10.9514 3.3457
angles: 90.00 90.00 120.00
Space group R-3m (No. 166, hexagonal axes)
Asymmetric unit:
In (0.0000, 0.0000, 0.0000) [3 per cell]
Te (0.0000, 0.5000, 0.0000) [9 per cell]

Calculated values
- N(E_F): 0.644 states/eV per atom
- Formation energy without anion corrections: 52 kJ/mol of formula units


(4)
Material: InTe3
Method: DFT, PBE
State: optimized geometry

abc: 4.533 6.375 8.518
angles: 90.00 90.00 90.00
Space group Pmmn (No. 59, origin choice 2)
Asymmetric unit:
In (0.250, 0.250, 0.125) [2 per cell]
Te (0.250, 0.505, 0.625) [4 per cell]
Te (0.250, 0.750, 0.106) [2 per cell]

Calculated values
- N(E_F): 0.529 states/eV per atom
- Formation energy without anion corrections: 7 kJ/mol of formula units


(5)
Material: In2Te
Method: DFT, PBE
State: optimized geometry

abc: 13.104 4.498 6.946
angles: 90.00 113.02 90.00
Space group C2/m (No. 12)
Asymmetric unit:
In (0.031, 0.000, 0.298) [4 per cell]
In (0.156, 0.500, 0.131) [4 per cell]
Te (0.170, 0.500, 0.691) [4 per cell]

Calculated values
- N(E_F): 0.230 states/eV per atom
- Formation energy without anion corrections: -47 kJ/mol of formula units


(6)
Material: In2Te
Method: DFT, PBE
State: optimized geometry

abc: 4.440 13.203 6.453
angles: 90.00 90.00 90.00
Space group Cmcm (No. 63)
Asymmetric unit:
In (0.000, 0.013, 0.250) [4 per cell]
In (0.000, 0.341, 0.250) [4 per cell]
Te (0.000, 0.326, 0.750) [4 per cell]

Calculated values
- N(E_F): 0.346 states/eV per atom
- Formation energy without anion corrections: -52 kJ/mol of formula units


(7)
Material: In3Te2
Method: DFT, PBE
State: optimized geometry

abc: 8.075 4.663 9.310
angles: 90.00 95.23 90.00
Space group P2_1/m (No. 11)
Asymmetric unit:
In (0.011, 0.250, 0.303) [2 per cell]
In (0.288, 0.750, 0.929) [2 per cell]
In (0.395, 0.750, 0.399) [2 per cell]
Te (0.201, 0.250, 0.610) [2 per cell]
Te (0.351, 0.250, 0.157) [2 per cell]

Calculated values
- N(E_F): 0.408 states/eV per atom
- Distance to the lowest polymorph of the same formula: 0.083 eV/atom
- Formation energy without anion corrections: -81 kJ/mol of formula units


(8)
Material: InTe3
Method: DFT, PBE
State: optimized geometry

abc: 4.1297 4.1297 8.4266
angles: 90.00 90.00 120.00
Space group P-6m2 (No. 187)
Asymmetric unit:
In (0.0000, 0.0000, 0.0000) [1 per cell]
Te (0.0000, 0.0000, 0.5000) [1 per cell]
Te (0.6667, 0.3333, 0.2365) [2 per cell]

Calculated values
- N(E_F): 0.481 states/eV per atom
- Formation energy without anion corrections: 14 kJ/mol of formula units


(9)
Material: In2Te
Method: DFT, PBE
State: optimized geometry

abc: 4.599 12.253 7.113
angles: 90.00 90.00 90.00
Space group Fmm2 (No. 42)
Asymmetric unit:
In (0.000, 0.156, 0.000) [8 per cell]
Te (0.000, 0.000, 0.344) [4 per cell]

Calculated values
- N(E_F): 0.275 states/eV per atom
- Formation energy without anion corrections: -44 kJ/mol of formula units


(10)
Material: InTe2
Method: DFT, PBE
State: optimized geometry

abc: 5.5464 5.5464 6.4551
angles: 90.00 90.00 120.00
Space group P6_3/mmc (No. 194)
Asymmetric unit:
In (0.3333, 0.6667, 0.2500) [2 per cell]
Te (0.0000, 0.0000, 0.0000) [2 per cell]
Te (0.3333, 0.6667, 0.7500) [2 per cell]

Calculated values
- N(E_F): 1.048 states/eV per atom
- Distance to the lowest polymorph of the same formula: 0.273 eV/atom
- Formation energy without anion corrections: 22 kJ/mol of formula units


(11)
Material: In2Te
Method: DFT, PBE
State: optimized geometry

abc: 7.5711 7.5711 8.1970
angles: 90.00 90.00 120.00
Space group P6_3/mmc (No. 194)
Asymmetric unit:
In (0.0000, 0.0000, 0.0000) [2 per cell]
In (0.1764, 0.3528, 0.2500) [6 per cell]
Te (0.3333, 0.6667, 0.5177) [4 per cell]

Calculated values
- N(E_F): 0.335 states/eV per atom
- Formation energy without anion corrections: -4 kJ/mol of formula units


(12)
Material: InTe3
Method: DFT, PBE
State: optimized geometry

abc: 4.909 4.909 4.909
angles: 90.00 90.00 90.00
Space group Pm-3m (No. 221)
Asymmetric unit:
In (0.000, 0.000, 0.000) [1 per cell]
Te (0.000, 0.500, 0.500) [3 per cell]

Calculated values
- N(E_F): 0.984 states/eV per atom
- Formation energy without anion corrections: 90 kJ/mol of formula units


(13)
Material: InTe2
Method: DFT, PBE
State: optimized geometry

abc: 4.382 13.793 6.181
angles: 90.00 90.00 90.00
Space group Cmcm (No. 63)
Asymmetric unit:
In (0.000, 0.162, 0.250) [4 per cell]
Te (0.000, 0.189, 0.750) [4 per cell]
Te (0.000, 0.493, 0.750) [4 per cell]

Calculated values
- N(E_F): 0.353 states/eV per atom
- Distance to the lowest polymorph of the same formula: 0.000 eV/atom
- Formation energy without anion corrections: -57 kJ/mol of formula units


(14)
Material: In2Te
Method: DFT, PBE
State: optimized geometry

abc: 5.6090 5.6090 6.7205
angles: 90.00 90.00 120.00
Space group P6_3/mmc (No. 194)
Asymmetric unit:
In (0.0000, 0.0000, 0.0000) [2 per cell]
In (0.3333, 0.6667, 0.2500) [2 per cell]
Te (0.3333, 0.6667, 0.7500) [2 per cell]

Calculated values
- N(E_F): 0.546 states/eV per atom
- Formation energy without anion corrections: -33 kJ/mol of formula units


(15)
Material: InTe3
Method: DFT, PBE
State: optimized geometry

abc: 4.106 4.195 8.026
angles: 90.00 90.00 90.00
Space group Pmm2 (No. 25)
Asymmetric unit:
In (0.000, 0.000, 0.000) [1 per cell]
Te (0.000, 0.500, 0.550) [1 per cell]
Te (0.500, 0.000, 0.652) [1 per cell]
Te (0.500, 0.500, 0.110) [1 per cell]

Calculated values
- N(E_F): 0.241 states/eV per atom
- Formation energy without anion corrections: -7 kJ/mol of formula units


(16)
Material: In2Te
Method: DFT, PBE
State: optimized geometry

abc: 4.5395 4.5395 5.4494
angles: 90.00 90.00 120.00
Space group P-3m1 (No. 164)
Asymmetric unit:
In (0.3333, 0.6667, 0.3241) [2 per cell]
Te (0.0000, 0.0000, 0.0000) [1 per cell]

Calculated values
- N(E_F): 0.278 states/eV per atom
- Formation energy without anion corrections: -58 kJ/mol of formula units


(17)
Material: In2Te
Method: DFT, PBE
State: optimized geometry

abc: 8.977 8.977 8.977
angles: 90.00 90.00 90.00
Space group Fd-3m (No. 227, origin choice 2)
Asymmetric unit:
In (0.000, 0.000, 0.000) [16 per cell]
Te (0.125, 0.125, 0.625) [8 per cell]

Calculated values
- N(E_F): 0.926 states/eV per atom
- Formation energy without anion corrections: 23 kJ/mol of formula units


(18)
Material: In3Te2
Method: DFT, PBE
State: optimized geometry

abc: 7.0609 7.0609 23.0732
angles: 90.00 90.00 120.00
Space group R-3m (No. 166, hexagonal axes)
Asymmetric unit:
In (0.0132, 0.5066, 0.1040) [18 per cell]
Te (0.0000, 0.0000, 0.1208) [6 per cell]
Te (0.0000, 0.0000, 0.3227) [6 per cell]

Calculated values
- N(E_F): 0.509 states/eV per atom
- Distance to the lowest polymorph of the same formula: 0.116 eV/atom
- Formation energy without anion corrections: -65 kJ/mol of formula units


(19)
Material: In2Te
Method: DFT, PBE
State: optimized geometry

abc: 5.6986 5.6986 3.1671
angles: 90.00 90.00 120.00
Space group P-3m1 (No. 164)
Asymmetric unit:
In (0.3333, 0.6667, 0.2936) [2 per cell]
Te (0.0000, 0.0000, 0.5000) [1 per cell]

Calculated values
- N(E_F): 0.335 states/eV per atom
- Formation energy without anion corrections: -19 kJ/mol of formula units


(20)
Material: In6Te
Method: DFT, PBE
State: optimized geometry

abc: 8.169 8.169 8.169
angles: 90.00 90.00 90.00
Space group Im-3m (No. 229)
Asymmetric unit:
In (0.000, 0.250, 0.500) [12 per cell]
Te (0.000, 0.000, 0.000) [2 per cell]

Calculated values
- N(E_F): 1.068 states/eV per atom
- Formation energy without anion corrections: 315 kJ/mol of formula units